# 1
10
Lattice="-4.3563 1.5236 -4.8398 3.1720 -4.2725 -4.2001 -6.1161 -3.4934 4.4054" Properties=species:S:1:pos:R:3 comment="TlHgBiPb2, relaxed, DFT PBE-GGA" delta_e_f_ev_per_fu=0.28 pbc="T T T"
Tl -4.0045 -3.8808 -4.5476
Tl -3.2959 -2.3615 -0.0869
Pb 0.2118 -2.4573 -5.5845
Pb 0.7820 -1.0533 -1.0355
Pb 2.3900 -3.2191 -3.1646
Pb -1.3961 -0.2916 -3.4554
Bi -2.6403 -5.6540 -1.7135
Bi -4.6601 -0.5883 -2.9210
Hg -6.4699 -2.8373 -2.0000
Hg -0.8305 -3.4050 -2.6345

# 2
6
Lattice="0.1881 3.1751 3.5570 -3.6661 2.9601 0.7521 -2.7679 -0.5595 3.8463" Properties=species:S:1:pos:R:3 comment="Cu5Pt, relaxed, DFT PBE-GGA" delta_e_f_ev_per_fu=0.16 polymorph_energy_ev_per_atom=0.129 pbc="T T T"
Cu -2.2494 3.6773 4.8357
Cu -2.3433 2.0919 3.0596
Cu -3.7254 1.8125 4.9802
Cu -4.1739 3.5699 3.4352
Cu -4.6845 4.1818 6.1165
Pt 0.0000 0.0000 0.0000

# 3
12
Lattice="-3.2573 -4.8637 -2.1195 5.6147 -3.6214 -0.3185 -1.0459 1.1648 8.0777" Properties=species:S:1:pos:R:3 comment="Er3RuPb2, relaxed, DFT PBE-GGA" delta_e_f_ev_per_fu=-2.00 polymorph_energy_ev_per_atom=0.094 pbc="T T T"
Pb 1.1191 -2.1471 4.7778
Pb 0.1924 -5.1732 0.8620
Pb 3.3670 -4.7933 4.2545
Pb -2.0555 -2.5271 1.3853
Er 2.0161 -5.9935 -1.6671
Er 2.3491 -2.9629 1.7567
Er 1.2594 -6.9301 3.3918
Er 0.3413 -2.4917 -0.7709
Er 0.0520 -0.3903 2.2480
Er -1.0376 -4.3575 3.8830
Ru 3.8076 -3.3184 -0.5014
Ru -1.4502 -5.1667 -1.9366

# 4
8
Lattice="-2.7499 0.8411 -2.2672 -4.1026 -0.4158 4.8220 2.1650 5.9458 -0.4201" Properties=species:S:1:pos:R:3 comment="LaNd2SmN4, relaxed, DFT PBE-GGA" e_form_raw_mev_per_atom=-1370 pbc="T T T"
Sm 0.0000 0.0000 0.0000
N -2.8407 4.5748 2.1855
N -1.8469 1.7964 -0.0508
N 0.6120 4.3484 0.8709
N -2.5497 1.1816 3.5310
La -3.4263 0.2126 1.2774
Nd -0.2925 3.3935 -1.3436
Nd -0.9688 2.7650 2.2010

# 5
4
Lattice="5.0067 0.0000 0.0000 2.5034 4.3359 0.0000 2.5034 1.4453 4.0880" Properties=species:S:1:pos:R:3 comment="TbPaZnPd, relaxed, DFT PBE-GGA" delta_e_f_ev_per_fu=-0.98 pbc="T T T"
Tb 7.5101 4.3359 3.0660
Pa 2.5034 1.4453 1.0220
Pd 5.0067 2.8906 2.0440
Zn 0.0000 0.0000 0.0000

# 6
5
Lattice="4.7572 0.0000 0.0000 0.0000 4.7572 0.0000 0.0000 0.0000 4.7572" Properties=species:S:1:pos:R:3 comment="Ti3ReSb, relaxed, DFT PBE-GGA" polymorph_energy_ev_per_atom=0.000 e_form_raw_mev_per_atom=413 pbc="T T T"
Sb 2.3786 2.3786 2.3786
Ti 2.3786 0.0000 0.0000
Ti 0.0000 0.0000 2.3786
Ti 0.0000 2.3786 0.0000
Re 0.0000 0.0000 0.0000

# 7
10
Lattice="6.8800 0.0000 0.0000 0.0000 6.8800 0.0000 0.0000 0.0000 4.6382" Properties=species:S:1:pos:R:3 comment="La2Si2Tc, relaxed, DFT PBE-GGA" polymorph_energy_ev_per_atom=0.178 e_form_raw_mev_per_atom=-450 pbc="T T T"
La 2.1874 1.2527 2.3191
La 1.2527 4.6927 2.3191
La 4.6927 5.6274 2.3191
La 5.6274 2.1874 2.3191
Si 0.8707 2.5693 0.0000
Si 4.3107 0.8707 0.0000
Si 2.5693 6.0093 0.0000
Si 6.0093 4.3107 0.0000
Tc 0.0000 0.0000 0.0000
Tc 3.4400 3.4400 0.0000

# 8
5
Lattice="-0.4524 -4.0455 -2.3848 4.5836 0.1409 -1.1086 1.0219 -2.4233 3.9168" Properties=species:S:1:pos:R:3 comment="MoW3C, relaxed, DFT PBE-GGA" delta_e_f_ev_per_fu=16.98 polymorph_energy_ev_per_atom=3.164 pbc="T T T"
W -0.2262 -2.0227 -1.1924
W 0.5109 -1.2116 1.9584
W 2.2918 0.0705 -0.5543
C 2.5765 -3.1639 0.2117
Mo 0.0000 0.0000 0.0000

no.,M_tot (μB per formula unit),calculated density (g/cm³),raw total energy (eV per cell)
1,0.00,9.9,-27.38
2,0.00,11.1,-26.36
3,0.00,11.0,-64.76
4,0.00,7.6,-63.45
5,0.48,10.5,-21.58
6,0.65,7.0,-38.19
7,0.00,6.5,-66.63
8,0.00,10.4,-41.93